(1)
Computed, not measured: a geometry-optimized Cs2DyCdCl6 structure at the PBE-GGA level of DFT.

Calculated values
Space group: Pmmn, No. 59
Calculated total energy in eV/atom: -3.651
N(E_F) in states/eV/cell: 5.45

abc: 7.9043 7.9088 11.1843
angles: 90.00 90.00 90.00
Element x y z (fractional)
1 Cd 0.5000 0.2512 0.0000
2 Cd 0.0000 0.7488 0.5000
3 Cl 0.7366 0.0126 0.5000
4 Cl 0.7367 0.4852 0.5000
5 Cl 0.2366 0.9874 0.0000
6 Cl 0.5000 0.2487 0.7365
7 Cl 0.0000 0.7513 0.7635
8 Cl 0.5000 0.2487 0.2635
9 Cl 0.0000 0.7513 0.2365
10 Cl 0.2633 0.4852 0.5000
11 Cl 0.7634 0.9874 0.0000
12 Cl 0.2634 0.0126 0.5000
13 Cl 0.2367 0.5148 0.0000
14 Cl 0.7633 0.5148 0.0000
15 Cs 0.0000 0.2495 0.7495
16 Cs 0.0000 0.2495 0.2505
17 Cs 0.5000 0.7505 0.7505
18 Cs 0.5000 0.7505 0.2495
19 Dy 0.5000 0.2490 0.5000
20 Dy 0.0000 0.7510 0.0000

=====

(2)
Computed, not measured: a geometry-optimized CsDyCdCl6 structure at the PBE-GGA level of DFT.

Calculated values
Space group: P312, No. 149
Calculated total energy in eV/atom: -3.804
N(E_F) in states/eV/cell: 0.00

abc: 6.9945 6.9946 7.7130
angles: 90.00 90.00 60.00
Element x y z (fractional)
1 Cl 0.3811 0.0016 0.6991
2 Cl 0.0016 0.3811 0.3009
3 Cl 0.0015 0.6173 0.6991
4 Cl 0.6173 0.0016 0.3009
5 Cl 0.3811 0.6173 0.3009
6 Cl 0.6173 0.3811 0.6991
7 Cd 0.6666 0.6667 0.5000
8 Cs 0.0000 0.0000 0.0000
9 Dy 0.3333 0.3334 0.5000

=====

(3)
Computed, not measured: a geometry-optimized CsDyCd2Cl8 structure at the PBE-GGA level of DFT.

Calculated values
Space group: P-1, No. 2
Calculated total energy in eV/atom: -3.449
N(E_F) in states/eV/cell: 0.00

abc: 6.6770 6.7607 9.5451
angles: 73.76 76.03 74.87
Element x y z (fractional)
1 Cl 0.3836 0.2932 0.5267
2 Cl 0.7437 0.2024 0.1990
3 Cl 0.2735 0.2356 0.9682
4 Cl 0.2563 0.7976 0.8010
5 Cl 0.8330 0.2851 0.7778
6 Cl 0.1670 0.7149 0.2222
7 Cl 0.6164 0.7068 0.4733
8 Cl 0.7265 0.7644 0.0318
9 Cd 0.4546 0.4452 0.7213
10 Cd 0.5454 0.5548 0.2787
11 Dy 0.0000 0.0000 0.0000
12 Cs 0.0000 0.0000 0.5000

=====

(4)
Computed, not measured: a geometry-optimized Cs2ErCdCl6 structure at the PBE-GGA level of DFT.

Calculated values
Space group: Pmmn, No. 59
Calculated total energy in eV/atom: -3.649
N(E_F) in states/eV/cell: 5.30

abc: 7.8769 7.8774 11.1446
angles: 90.00 90.00 90.00
Element x y z (fractional)
1 Cl 0.7355 0.4841 0.5000
2 Cl 0.5000 0.2487 0.7353
3 Cl 0.7645 0.5159 0.0000
4 Cl 0.2355 0.5159 0.0000
5 Cl 0.2352 0.9866 0.0000
6 Cl 0.7352 0.0134 0.5000
7 Cl 0.5000 0.2487 0.2647
8 Cl 0.0000 0.7513 0.7647
9 Cl 0.2645 0.4841 0.5000
10 Cl 0.7648 0.9866 0.0000
11 Cl 0.0000 0.7513 0.2353
12 Cl 0.2648 0.0134 0.5000
13 Er 0.5000 0.2490 0.5000
14 Er 0.0000 0.7510 0.0000
15 Cd 0.5000 0.2508 0.0000
16 Cd 0.0000 0.7492 0.5000
17 Cs 0.0000 0.2497 0.2502
18 Cs 0.5000 0.7503 0.2498
19 Cs 0.0000 0.2497 0.7498
20 Cs 0.5000 0.7503 0.7502

=====

(5)
Computed, not measured: a geometry-optimized CsErCdCl6 structure at the PBE-GGA level of DFT.

Calculated values
Space group: P312, No. 149
Calculated total energy in eV/atom: -3.800
N(E_F) in states/eV/cell: 0.00

abc: 6.9611 6.9611 7.7250
angles: 90.00 90.00 60.00
Element x y z (fractional)
1 Er 0.3333 0.3333 0.5000
2 Cs 0.0000 0.0000 0.0000
3 Cl 0.6172 0.3785 0.6974
4 Cl 0.3785 0.0042 0.6974
5 Cl 0.3785 0.6172 0.3025
6 Cl 0.6172 0.0043 0.3026
7 Cl 0.0042 0.6172 0.6974
8 Cl 0.0042 0.3785 0.3025
9 Cd 0.6666 0.6667 0.5000

=====

(6)
Computed, not measured: a geometry-optimized Cs3Cd2Cl3F4 structure at the PBE-GGA level of DFT.

Calculated values
Space group: Immm, No. 71
Calculated total energy in eV/atom: -3.505
N(E_F) in states/eV/cell: 0.00

abc: 4.5996 5.2627 13.4238
angles: 101.30 99.86 90.00
Element x y z (fractional)
1 Cl 0.0023 0.0000 0.0000
2 Cl 0.1024 0.6001 0.2001
3 Cl 0.9023 0.3999 0.7999
4 F 0.8095 0.8072 0.6143
5 F 0.1952 0.1928 0.3857
6 F 0.6119 0.1096 0.2193
7 F 0.3926 0.8904 0.7807
8 Cd 0.1088 0.1065 0.2130
9 Cd 0.8958 0.8935 0.7870
10 Cs 0.6970 0.6947 0.3893
11 Cs 0.3077 0.3053 0.6107
12 Cs 0.5023 0.5000 0.0000